Record 1
Here is a geometry-optimized Ta4FeRu structure from the Alexandria database. Energies are from GGA-PBE.

Unit cell a=4.2731 b=4.2742 c=6.0988 alpha=89.92 beta=89.96 gamma=90.00
Fractional coordinates of all 6 atoms:
Ta1 0.5014 0.9977 0.7394
Ta2 0.0015 0.4976 0.7394
Ta3 0.0011 0.4970 0.2569
Ta4 0.5011 0.9969 0.2569
Ru1 0.5013 0.4973 0.9981
Fe1 0.0013 0.9972 0.4981

Output
* magnetization: 0.000 μB/atom
* ΔH_f (0 K): 221 meV/atom
* E_tot: -0.7818 Ry per atom

Record 2
Here is a geometry-optimized TaFe2Ru structure from the Alexandria database. Energies are from GGA-PBE.

Unit cell a=4.9521 b=4.9521 c=2.7143 alpha=80.22 beta=80.22 gamma=116.97
Fractional coordinates of all 4 atoms:
Ru1 0.5000 0.0000 0.5000
Fe1 0.5000 0.5000 0.0000
Fe2 0.0000 0.0000 0.0000
Ta1 0.0000 0.5000 0.5000

Output
* magnetization: 1.223 μB/atom
* ΔH_f (0 K): 32 meV/atom
* E_tot: -0.6968 Ry per atom

Question: Which of these has the highest ΔH_f (0 K)?
Answer: Ta4FeRu